Record 1
# PrHoPd2 (PBE, optimized geometry)
# ΔE_f in eV/atom: -0.787
# Calculated density in Mg/m³: 9.4
# Energy above the most stable polymorph in this dataset in eV/f.u.: 0.23
# V in Å³/f.u.: 92
# Total DFT energy (no corrections) in eV per atom: -5.7228
# Magnetic moment in μB/cell: 0.00
data_PrHoPd2
_chemical_formula_sum 'Pr4 Ho4 Pd8'
_cell_length_a 7.1566
_cell_length_b 7.1566
_cell_length_c 7.1566
_cell_angle_alpha 90.00
_cell_angle_beta 90.00
_cell_angle_gamma 90.00
_space_group_name_H-M_alt 'F m -3 m'
_space_group_IT_number 225
_space_group_name_Hall '-F 4 2 3'
loop_
_atom_site_label
_atom_site_type_symbol
_atom_site_fract_x
_atom_site_fract_y
_atom_site_fract_z
_atom_site_occupancy
Pr1 Pr 0.0000 0.0000 0.0000 1
Ho1 Ho 0.0000 0.0000 0.5000 1
Pd1 Pd 0.2500 0.2500 0.2500 1

Record 2
# PaHgPd (PBE, optimized geometry)
# ΔE_f in eV/atom: 0.018
# Calculated density in Mg/m³: 13.6
# Energy above the most stable polymorph in this dataset in eV/f.u.: 0.87
# V in Å³/f.u.: 66
# Total DFT energy (no corrections) in eV per atom: -4.9789
# Magnetic moment in μB/cell: 0.00
data_PaHgPd
_chemical_formula_sum 'Pa6 Hg6 Pd6'
_cell_length_a 3.1625
_cell_length_b 3.1625
_cell_length_c 45.5035
_cell_angle_alpha 90.00
_cell_angle_beta 90.00
_cell_angle_gamma 120.00
_space_group_name_H-M_alt 'R -3 m'
_space_group_IT_number 166
_space_group_name_Hall '-R 3 2"'
loop_
_atom_site_label
_atom_site_type_symbol
_atom_site_fract_x
_atom_site_fract_y
_atom_site_fract_z
_atom_site_occupancy
Pa1 Pa 0.0000 0.0000 0.1972 1
Hg1 Hg 0.0000 0.0000 0.3627 1
Pd1 Pd 0.0000 0.0000 0.2537 1

Record 3
# Pr6Dy3Er2In (PBE, optimized geometry)
# ΔE_f in eV/atom: -0.027
# Calculated density in Mg/m³: 7.5
# V in Å³/f.u.: 393
# Total DFT energy (no corrections) in eV per atom: -4.5560
# Magnetic moment in μB/cell: 0.00
data_Pr6Dy3Er2In
_chemical_formula_sum 'Pr12 Dy6 Er4 In2'
_cell_length_a 6.2339
_cell_length_b 10.8217
_cell_length_c 11.8358
_cell_angle_alpha 90.00
_cell_angle_beta 100.24
_cell_angle_gamma 90.00
_space_group_name_H-M_alt 'C 1 2/m 1'
_space_group_IT_number 12
loop_
_space_group_symop_operation_xyz
'x,y,z'
'-x,-y,-z'
'-x,y,-z'
'x,-y,z'
'x+1/2,y+1/2,z'
'-x+1/2,-y+1/2,-z'
'-x+1/2,y+1/2,-z'
'x+1/2,-y+1/2,z'
loop_
_atom_site_label
_atom_site_type_symbol
_atom_site_fract_x
_atom_site_fract_y
_atom_site_fract_z
_atom_site_occupancy
Pr1 Pr 0.2449 0.0000 0.2519 1
Pr2 Pr 0.2461 0.1639 0.7469 1
Dy1 Dy 0.0000 0.1679 0.0000 1
Dy2 Dy 0.0000 0.5000 0.0000 1
Er1 Er 0.0000 0.3332 0.5000 1
In1 In 0.0000 0.0000 0.5000 1

Record 4
# NaLaTc2O8 (PBE, optimized geometry)
# Calculated density in Mg/m³: 4.7
# Raw formation energy in meV per atom: -1920
# V in Å³/f.u.: 172
# Total DFT energy (no corrections) in eV per atom: -7.4738
# Magnetic moment in μB/cell: 4.06
data_NaLaTc2O8
_chemical_formula_sum 'Na2 La2 Tc4 O16'
_cell_length_a 5.3851
_cell_length_b 5.3851
_cell_length_c 11.8943
_cell_angle_alpha 90.00
_cell_angle_beta 90.00
_cell_angle_gamma 90.00
_space_group_name_H-M_alt 'I -4'
_space_group_IT_number 82
loop_
_space_group_symop_operation_xyz
'x,y,z'
'y,-x,-z'
'-x,-y,z'
'-y,x,-z'
'x+1/2,y+1/2,z+1/2'
'y+1/2,-x+1/2,-z+1/2'
'-x+1/2,-y+1/2,z+1/2'
'-y+1/2,x+1/2,-z+1/2'
loop_
_atom_site_label
_atom_site_type_symbol
_atom_site_fract_x
_atom_site_fract_y
_atom_site_fract_z
_atom_site_occupancy
Na1 Na 0.0000 0.0000 0.0000 1
La1 La 0.0000 0.5000 0.7500 1
Tc1 Tc 0.0000 0.0000 0.5000 1
Tc2 Tc 0.0000 0.5000 0.2500 1
O1 O 0.1378 0.2416 0.5825 1
O2 O 0.1481 0.7471 0.1735 1

Record 5
# Pr6Os2AuCl3 (PBE, optimized geometry)
# Calculated density in Mg/m³: 7.3
# Raw formation energy in meV per atom: -925
# V in Å³/f.u.: 350
# Total DFT energy (no corrections) in eV per atom: -5.9207
# Magnetic moment in μB/cell: 0.00
data_Pr6Os2AuCl3
_chemical_formula_sum 'Pr12 Os4 Au2 Cl6'
_cell_length_a 7.2683
_cell_length_b 12.6280
_cell_length_c 7.9967
_cell_angle_alpha 90.00
_cell_angle_beta 107.38
_cell_angle_gamma 90.00
_space_group_name_H-M_alt 'C 1 2/m 1'
_space_group_IT_number 12
loop_
_space_group_symop_operation_xyz
'x,y,z'
'-x,-y,-z'
'-x,y,-z'
'x,-y,z'
'x+1/2,y+1/2,z'
'-x+1/2,-y+1/2,-z'
'-x+1/2,y+1/2,-z'
'x+1/2,-y+1/2,z'
loop_
_atom_site_label
_atom_site_type_symbol
_atom_site_fract_x
_atom_site_fract_y
_atom_site_fract_z
_atom_site_occupancy
Pr1 Pr 0.2097 0.0000 0.2075 1
Pr2 Pr 0.2468 0.3212 0.2075 1
Os1 Os 0.0000 0.1662 0.0000 1
Au1 Au 0.0000 0.5000 0.0000 1
Cl1 Cl 0.0000 0.0000 0.5000 1
Cl2 Cl 0.0000 0.3250 0.5000 1

Record 6
# Ti2ZnBi2 (PBE, optimized geometry)
# ΔE_f in eV/atom: 0.324
# Calculated density in Mg/m³: 7.1
# Energy above the most stable polymorph in this dataset in eV/f.u.: 1.76
# V in Å³/f.u.: 135
# Total DFT energy (no corrections) in eV per atom: -4.6412
# Magnetic moment in μB/cell: 0.00
data_Ti2ZnBi2
_chemical_formula_sum 'Ti4 Zn2 Bi4'
_cell_length_a 4.6625
_cell_length_b 4.6625
_cell_length_c 12.3876
_cell_angle_alpha 90.00
_cell_angle_beta 90.00
_cell_angle_gamma 90.00
_space_group_name_H-M_alt 'I 4/m m m'
_space_group_IT_number 139
_space_group_name_Hall '-I 4 2'
loop_
_atom_site_label
_atom_site_type_symbol
_atom_site_fract_x
_atom_site_fract_y
_atom_site_fract_z
_atom_site_occupancy
Ti1 Ti 0.0000 0.5000 0.2500 1
Zn1 Zn 0.0000 0.0000 0.0000 1
Bi1 Bi 0.0000 0.0000 0.3758 1

Record 7
# CsNbCl6 (PBE, optimized geometry)
# Calculated density in Mg/m³: 2.7
# Raw formation energy in meV per atom: -1488
# Energy above the most stable polymorph in this dataset in eV/f.u.: 0.00
# V in Å³/f.u.: 266
# Total DFT energy (no corrections) in eV per atom: -4.2387
# Magnetic moment in μB/cell: 0.00
data_CsNbCl6
_chemical_formula_sum 'Cs4 Nb4 Cl24'
_cell_length_a 12.6332
_cell_length_b 6.7563
_cell_length_c 12.7955
_cell_angle_alpha 90.00
_cell_angle_beta 102.57
_cell_angle_gamma 90.00
_space_group_name_H-M_alt 'C 1 2/c 1'
_space_group_IT_number 15
loop_
_space_group_symop_operation_xyz
'x,y,z'
'-x,-y,-z'
'-x,y,-z+1/2'
'x,-y,z+1/2'
'x+1/2,y+1/2,z'
'-x+1/2,-y+1/2,-z'
'-x+1/2,y+1/2,-z+1/2'
'x+1/2,-y+1/2,z+1/2'
loop_
_atom_site_label
_atom_site_type_symbol
_atom_site_fract_x
_atom_site_fract_y
_atom_site_fract_z
_atom_site_occupancy
Cs1 Cs 0.0000 0.1160 0.2500 1
Nb1 Nb 0.2500 0.2500 0.0000 1
Cl1 Cl 0.0854 0.3811 0.8949 1
Cl2 Cl 0.1537 0.0358 0.5370 1
Cl3 Cl 0.2146 0.4099 0.1553 1

Record 8
# NaHf2VGa (PBE, optimized geometry)
# ΔE_f in eV/atom: 1.633
# Calculated density in Mg/m³: 7.6
# V in Å³/f.u.: 110
# Total DFT energy (no corrections) in eV per atom: -5.0412
# Magnetic moment in μB/cell: 1.65
data_NaHf2VGa
_chemical_formula_sum 'Na1 Hf2 V1 Ga1'
_cell_length_a 4.9417
_cell_length_b 4.9417
_cell_length_c 4.4923
_cell_angle_alpha 90.00
_cell_angle_beta 90.00
_cell_angle_gamma 90.00
_space_group_name_H-M_alt 'P 4/m m m'
_space_group_IT_number 123
_space_group_name_Hall '-P 4 2'
loop_
_atom_site_label
_atom_site_type_symbol
_atom_site_fract_x
_atom_site_fract_y
_atom_site_fract_z
_atom_site_occupancy
Na1 Na 0.0000 0.0000 0.0000 1
Hf1 Hf 0.0000 0.5000 0.0000 1
V1 V 0.0000 0.0000 0.5000 1
Ga1 Ga 0.5000 0.5000 0.5000 1

Record 9
# Bi2As2ClO6 (PBE, optimized geometry)
# Calculated density in Mg/m³: 5.2
# Raw formation energy in meV per atom: -1080
# V in Å³/f.u.: 222
# Total DFT energy (no corrections) in eV per atom: -5.5031
# Magnetic moment in μB/cell: 0.00
data_Bi2As2ClO6
_chemical_formula_sum 'Bi2 As2 Cl1 O6'
_cell_length_a 5.3086
_cell_length_b 6.6444
_cell_length_c 7.1461
_cell_angle_alpha 64.40
_cell_angle_beta 77.05
_cell_angle_gamma 84.75
_space_group_name_H-M_alt 'P -1'
_space_group_IT_number 2
loop_
_space_group_symop_operation_xyz
'x,y,z'
'-x,-y,-z'
loop_
_atom_site_label
_atom_site_type_symbol
_atom_site_fract_x
_atom_site_fract_y
_atom_site_fract_z
_atom_site_occupancy
Bi1 Bi 0.1905 0.2838 0.3477 1
As1 As 0.2120 0.8646 0.9242 1
Cl1 Cl 0.5000 0.5000 0.5000 1
O1 O 0.0842 0.6064 0.1163 1
O2 O 0.1262 0.8968 0.6822 1
O3 O 0.4487 0.1696 0.1351 1

Record 10
# Nd6Tl5Te (PBE, optimized geometry)
# Calculated density in Mg/m³: 9.4
# Raw formation energy in meV per atom: -500
# V in Å³/f.u.: 355
# Total DFT energy (no corrections) in eV per atom: -4.1313
# Magnetic moment in μB/cell: 0.00
data_Nd6Tl5Te
_chemical_formula_sum 'Nd12 Tl10 Te2'
_cell_length_a 5.2171
_cell_length_b 8.6681
_cell_length_c 15.7106
_cell_angle_alpha 90.00
_cell_angle_beta 90.00
_cell_angle_gamma 90.00
_space_group_name_H-M_alt 'I m m m'
_space_group_IT_number 71
_space_group_name_Hall '-I 2 2'
loop_
_atom_site_label
_atom_site_type_symbol
_atom_site_fract_x
_atom_site_fract_y
_atom_site_fract_z
_atom_site_occupancy
Nd1 Nd 0.0000 0.2422 0.0000 1
Nd2 Nd 0.0000 0.2565 0.3367 1
Tl1 Tl 0.0000 0.0000 0.1823 1
Tl2 Tl 0.0000 0.0000 0.5000 1
Tl3 Tl 0.0000 0.5000 0.1626 1
Te1 Te 0.0000 0.5000 0.5000 1

Record 11
# Li2BeSb (PBE, optimized geometry)
# Calculated density in Mg/m³: 3.5
# Raw formation energy in meV per atom: 34
# Energy above the most stable polymorph in this dataset in eV/f.u.: 0.66
# V in Å³/f.u.: 68
# Total DFT energy (no corrections) in eV per atom: -2.8850
# Magnetic moment in μB/cell: 0.00
data_Li2BeSb
_chemical_formula_sum 'Li2 Be1 Sb1'
_cell_length_a 3.4352
_cell_length_b 3.4352
_cell_length_c 5.7515
_cell_angle_alpha 90.00
_cell_angle_beta 90.00
_cell_angle_gamma 90.00
_space_group_name_H-M_alt 'P 4 m m'
_space_group_IT_number 99
loop_
_space_group_symop_operation_xyz
'x,y,z'
'-y,x,z'
'-x,-y,z'
'y,-x,z'
'-x,y,z'
'y,x,z'
'x,-y,z'
'-y,-x,z'
loop_
_atom_site_label
_atom_site_type_symbol
_atom_site_fract_x
_atom_site_fract_y
_atom_site_fract_z
_atom_site_occupancy
Li1 Li 0.0000 0.0000 0.0000 1
Li2 Li 0.5000 0.5000 0.2555 1
Be1 Be 0.5000 0.5000 0.7570 1
Sb1 Sb 0.0000 0.0000 0.5307 1